4
Lattice="3.0232 0.0000 0.0000 0.0000 3.8283 0.0000 -0.0918 0.0000 8.1260" Properties=species:S:1:pos:R:3 comment="BeIn2Te PBE-GGA relaxed" dos_at_fermi_per_ev_cell=1.814 raw_formation_energy_kj_per_mol_fu=115 relative_energy_kj_per_mol_fu=90 final_energy_ev_per_atom=-2.79 pbc="T T T"
Be 0.0000 0.0000 0.0000
In 1.4768 1.9142 1.5620
In 1.4546 1.9142 6.5640
Te 1.4657 0.0000 4.0630